(A)
This record from Alexandria via LeMat-Bulk describes crystalline Al2PtW at its relaxed geometry. The functional is PBE.

Cell: 2.812 3.479 6.120 Å, 90.00 90.00 90.00°
Fractional positions:
Al1 0.000 0.000 0.244
Al2 0.000 0.000 0.756
Pt1 0.500 0.500 0.000
W1 0.500 0.500 0.500

## Properties
- space group = Pmmm
- D(E_F) (states/eV per cell) = 2.42


(B)
This record from Alexandria via LeMat-Bulk describes crystalline Al2PtW at its relaxed geometry. The functional is PBE.

Cell: 3.785 4.079 7.806 Å, 90.00 90.00 90.00°
Fractional positions:
Al1 0.000 0.000 0.238
Al2 0.000 0.000 0.762
Al3 0.500 0.500 0.238
Al4 0.500 0.500 0.762
Pt1 0.000 0.500 0.000
Pt2 0.500 0.000 0.000
W1 0.000 0.500 0.500
W2 0.500 0.000 0.500

## Properties
- space group = Cmmm
- D(E_F) (states/eV per cell) = 2.35


Energy above the most stable structure, in meV per atom: (A) 24; (B) 0


(A)
This record from Alexandria via LeMat-Bulk describes crystalline Al2PtW at its relaxed geometry. The functional is PBE.

Cell: 6.915 6.915 5.589 Å, 90.00 90.00 90.00°
Fractional positions:
Al1 0.225 0.250 0.125
Al2 0.250 0.725 0.375
Al3 0.250 0.775 0.875
Al4 0.275 0.250 0.625
Al5 0.725 0.750 0.625
Al6 0.750 0.225 0.875
Al7 0.750 0.275 0.375
Al8 0.775 0.750 0.125
Pt1 0.000 0.000 0.000
Pt2 0.000 0.500 0.250
Pt3 0.500 0.000 0.750
Pt4 0.500 0.500 0.500
W1 0.000 0.000 0.500
W2 0.000 0.500 0.750
W3 0.500 0.000 0.250
W4 0.500 0.500 0.000

## Properties
- space group = I-42d
- D(E_F) (states/eV per cell) = 13.19


(B)
This record from Alexandria via LeMat-Bulk describes crystalline Al2PtW at its relaxed geometry. The functional is PBE.

Cell: 6.303 6.303 6.303 Å, 90.00 90.00 90.00°
Fractional positions:
Al1 0.000 0.000 0.000
Al2 0.000 0.500 0.500
Al3 0.250 0.250 0.250
Al4 0.250 0.750 0.750
Al5 0.500 0.000 0.500
Al6 0.500 0.500 0.000
Al7 0.750 0.250 0.750
Al8 0.750 0.750 0.250
Pt1 0.000 0.000 0.500
Pt2 0.000 0.500 0.000
Pt3 0.500 0.000 0.000
Pt4 0.500 0.500 0.500
W1 0.250 0.250 0.750
W2 0.250 0.750 0.250
W3 0.750 0.250 0.250
W4 0.750 0.750 0.750

## Properties
- space group = F-43m
- D(E_F) (states/eV per cell) = 13.76


(C)
This record from Alexandria via LeMat-Bulk describes crystalline Al2PtW at its relaxed geometry. The functional is PBE.

Cell: 2.872 2.872 26.331 Å, 90.00 90.00 120.00°
Fractional positions:
Al1 0.000 0.000 0.000
Al2 0.000 0.000 0.246
Al3 0.333 0.667 0.667
Al4 0.333 0.667 0.913
Al5 0.667 0.333 0.333
Al6 0.667 0.333 0.580
Pt1 0.000 0.000 0.744
Pt2 0.333 0.667 0.411
Pt3 0.667 0.333 0.077
W1 0.000 0.000 0.496
W2 0.333 0.667 0.163
W3 0.667 0.333 0.829

## Properties
- space group = R3m
- D(E_F) (states/eV per cell) = 8.70


Energy above the most stable structure, in meV per atom: (A) 392; (B) 262; (C) 0


(A)
This record from Alexandria via LeMat-Bulk describes crystalline Al2PtW at its relaxed geometry. The functional is PBE.

Cell: 2.793 4.147 5.366 Å, 90.00 90.09 90.00°
Fractional positions:
Al1 0.003 0.000 0.239
Al2 0.997 0.000 0.761
Pt1 0.000 0.500 0.500
W1 0.500 0.500 0.000

## Properties
- space group = P2/m
- D(E_F) (states/eV per cell) = 2.73


(B)
This record from Alexandria via LeMat-Bulk describes crystalline Al2PtW at its relaxed geometry. The functional is PBE.

Cell: 4.378 4.378 3.102 Å, 90.00 90.00 90.00°
Fractional positions:
Al1 0.000 0.500 0.000
Al2 0.500 0.000 0.000
Pt1 0.000 0.000 0.500
W1 0.500 0.500 0.500

## Properties
- space group = P4/mmm
- D(E_F) (states/eV per cell) = 2.02


(C)
This record from Alexandria via LeMat-Bulk describes crystalline Al2PtW at its relaxed geometry. The functional is PBE.

Cell: 9.869 2.814 4.698 Å, 90.00 110.66 90.00°
Fractional positions:
Al1 0.000 0.000 0.000
Al2 0.234 0.000 0.598
Al3 0.500 0.500 0.000
Al4 0.734 0.500 0.598
Pt1 0.490 0.000 0.510
Pt2 0.990 0.500 0.510
W1 0.250 0.500 0.097
W2 0.750 0.000 0.097

## Properties
- space group = Cm
- D(E_F) (states/eV per cell) = 2.04


(D)
This record from Alexandria via LeMat-Bulk describes crystalline Al2PtW at its relaxed geometry. The functional is PBE.

Cell: 2.751 4.379 5.224 Å, 90.00 105.20 90.00°
Fractional positions:
Al1 0.000 0.000 0.000
Al2 0.157 0.500 0.316
Pt1 0.742 0.000 0.486
W1 0.420 0.500 0.838

## Properties
- space group = Pm
- D(E_F) (states/eV per cell) = 1.76


Energy above the most stable structure, in meV per atom: (A) 110; (B) 0; (C) 11; (D) 131


(A)
This record from Alexandria via LeMat-Bulk describes crystalline AlPt3W at its relaxed geometry. The functional is PBE.

Cell: 4.862 4.862 4.862 Å, 90.00 90.00 90.00°
Fractional positions:
Al1 0.000 0.000 0.000
Pt1 0.000 0.500 0.500
Pt2 0.500 0.000 0.500
Pt3 0.500 0.500 0.000
W1 0.500 0.500 0.500

## Properties
- space group = Pm-3m
- D(E_F) (states/eV per cell) = 4.81


(B)
This record from Alexandria via LeMat-Bulk describes crystalline AlPt3W at its relaxed geometry. The functional is PBE.

Cell: 4.479 4.479 4.479 Å, 90.00 90.00 90.00°
Fractional positions:
Al1 0.000 0.000 0.000
Pt1 0.000 0.000 0.500
Pt2 0.000 0.500 0.000
Pt3 0.500 0.000 0.000
W1 0.500 0.500 0.500

## Properties
- space group = Pm-3m
- D(E_F) (states/eV per cell) = 9.86


Energy above the most stable structure, in meV per atom: (A) 157; (B) 0